1.
Below is crystalline Sc6Tl2Os at its relaxed geometry, with properties calculated at the PBE-GGA level.

Output
magnetic moment: 0.000 μB per atom
density: 7.00 g cm⁻³
energy relative to the elements: -0.323 eV per atom
volume: 206 Å³ per cell

a b c (Å): 8.0286 8.0286 3.6911
angles (deg): 90.00 90.00 120.00
Last column: nearest neighbours and their distance in Å.
Space group P-62m (No. 189)
Unique sites:
Sc 0.0000 0.3789 0.0000 (multiplicity 3)  1 Os 3.04, 4 Tl 3.12, 4 Sc 3.25
Sc 0.0000 0.7570 0.5000 (multiplicity 3)  2 Os 2.69
Tl 0.3333 0.6667 0.5000 (multiplicity 2)  9 Sc 3.10-3.12
Os 0.0000 0.0000 0.0000 (multiplicity 1)  6 Sc 2.69

=====

2.
Below is crystalline Sc8Tl2Os at its relaxed geometry, with properties calculated at the PBE-GGA level.

Output
magnetic moment: 0.200 μB per atom
density: 6.37 g cm⁻³
energy relative to the elements: -0.247 eV per atom
volume: 499 Å³ per cell

a b c (Å): 16.1711 5.0507 6.6478
angles (deg): 90.00 113.10 90.00
Last column: nearest neighbours and their distance in Å.
Space group C2/m (No. 12)
Unique sites:
Sc 0.0067 0.0000 0.2691 (multiplicity 4)  2 Os 2.98, 7 Sc 3.13-3.23, 1 Tl 3.14
Sc 0.1156 0.5000 0.9012 (multiplicity 4)  1 Os 2.59
Sc 0.1389 0.5000 0.3981 (multiplicity 4)  1 Os 2.59
Sc 0.1849 0.0000 0.7162 (multiplicity 4)  3 Tl 3.12-3.19, 8 Sc 3.14-3.23
Tl 0.1851 0.0000 0.1855 (multiplicity 4)  10 Sc 3.09-3.38
Os 0.0000 0.5000 0.5000 (multiplicity 2)  4 Sc 2.59

=====

3.
Below is crystalline Sc2TlOs at its relaxed geometry, with properties calculated at the PBE-GGA level.

Output
magnetic moment: 0.000 μB per atom
density: 9.64 g cm⁻³
energy relative to the elements: -0.152 eV per atom
volume: 167 Å³ per cell

a b c (Å): 5.6712 3.2702 9.1965
angles (deg): 90.00 101.76 90.00
Last column: nearest neighbours and their distance in Å.
Space group C2/m (No. 12)
Unique sites:
Sc 0.2378 0.0000 0.2136 (multiplicity 4)  3 Os 2.69-2.70
Tl 0.0000 0.0000 0.5000 (multiplicity 2)  6 Sc 3.19-3.20, 6 Tl 3.27
Os 0.0000 0.5000 0.0000 (multiplicity 2)  6 Sc 2.69-2.70

=====

4.
Below is crystalline ScTl3Os at its relaxed geometry, with properties calculated at the PBE-GGA level.

Output
magnetic moment: 0.001 μB per atom
density: 9.72 g cm⁻³
energy relative to the elements: 0.723 eV per atom
volume: 145 Å³ per cell

a b c (Å): 5.2523 5.2523 5.2523
angles (deg): 90.00 90.00 90.00
Last column: nearest neighbours and their distance in Å.
Space group Pm-3m (No. 221)
Unique sites:
Sc 0.0000 0.0000 0.0000 (multiplicity 1)  12 Tl 3.71
Tl 0.0000 0.5000 0.5000 (multiplicity 3)  2 Os 2.63
Os 0.5000 0.5000 0.5000 (multiplicity 1)  6 Tl 2.63

=====

5.
Below is crystalline ScTlOs at its relaxed geometry, with properties calculated at the PBE-GGA level.

Output
magnetic moment: 0.001 μB per atom
density: 12.73 g cm⁻³
energy relative to the elements: 0.231 eV per atom
volume: 57 Å³ per cell

a b c (Å): 4.6502 4.6502 3.0621
angles (deg): 90.00 90.00 120.00
Last column: nearest neighbours and their distance in Å.
Space group P3m1 (No. 156)
Unique sites:
Sc 0.0000 0.0000 0.0000 (multiplicity 1)  3 Os 2.82, 3 Tl 2.99, 2 Sc 3.06
Tl 0.6667 0.3333 0.4317 (multiplicity 1)  3 Os 2.83, 3 Sc 2.99, 2 Tl 3.06
Os 0.3333 0.6667 0.7210 (multiplicity 1)  3 Sc 2.82, 3 Tl 2.83, 2 Os 3.06

=====

6.
Below is crystalline Sc4TlOs at its relaxed geometry, with properties calculated at the PBE-GGA level.

Output
magnetic moment: 0.000 μB per atom
density: 7.80 g cm⁻³
energy relative to the elements: 0.433 eV per atom
volume: 489 Å³ per cell

a b c (Å): 7.8783 7.8783 7.8783
angles (deg): 90.00 90.00 90.00
Last column: nearest neighbours and their distance in Å.
Space group F-43m (No. 216)
Unique sites:
Sc 0.1225 0.1225 0.3775 (multiplicity 16)  6 Sc 2.73-2.84
Tl 0.0000 0.0000 0.0000 (multiplicity 4)  12 Sc 3.27, 4 Os 3.41
Os 0.2500 0.2500 0.7500 (multiplicity 4)  12 Sc 3.26, 4 Tl 3.41